DFT (meta-GGA SCAN) results for MnCd2Ru at its PBEsol-relaxed geometry. Values from VASP.

Quantum ESPRESSO input file:
```
&SYSTEM
  ibrav = 0, nat = 4, ntyp = 3
/
ATOMIC_SPECIES
Cd 112.41 Cd.upf
Mn 54.94 Mn.upf
Ru 101.07 Ru.upf
ATOMIC_POSITIONS crystal
Cd 0.994 0.994 0.019
Mn 0.508 0.508 0.475
Ru 0.240 0.240 0.279
Cd 0.758 0.758 0.726
CELL_PARAMETERS angstrom
-1.795 1.411 1.698
-2.681 -0.904 0.300
1.082 -5.111 7.772
```

energy above the lowest structure with this stoichiometry	53	meV per atom
ΔH_f (0 K)	11.87	kJ per mole of atoms
crystal system	trigonal

DFT (meta-GGA SCAN) results for AlInAg2 at its PBEsol-relaxed geometry. Values from VASP.

Quantum ESPRESSO input file:
```
&SYSTEM
  ibrav = 0, nat = 4, ntyp = 3
/
ATOMIC_SPECIES
Ag 107.87 Ag.upf
Al 26.98 Al.upf
In 114.82 In.upf
ATOMIC_POSITIONS crystal
Ag 0.740 0.481 0.729
Ag 0.260 0.519 0.271
Al 0.000 0.000 0.500
In 0.500 0.000 0.000
CELL_PARAMETERS angstrom
-0.888 2.439 -1.466
-1.918 0.140 4.426
4.865 2.251 0.796
```

ΔH_f (0 K)	0.12	kJ per mole of atoms
crystal system	monoclinic

DFT (meta-GGA SCAN) results for SrCd4Ir at its PBEsol-relaxed geometry. Values from VASP.

Quantum ESPRESSO input file:
```
&SYSTEM
  ibrav = 0, nat = 6, ntyp = 3
/
ATOMIC_SPECIES
Sr 87.62 Sr.upf
Ir 192.22 Ir.upf
Cd 112.41 Cd.upf
ATOMIC_POSITIONS crystal
Sr 0.000 0.000 0.000
Ir 0.750 0.750 0.750
Cd 0.376 0.376 0.872
Cd 0.376 0.872 0.376
Cd 0.872 0.376 0.376
Cd 0.376 0.376 0.376
CELL_PARAMETERS angstrom
5.605 0.000 0.000
2.803 4.854 0.000
2.803 1.618 4.577
```

ΔH_f (0 K)	5.51	kJ per mole of atoms
crystal system	cubic